The following is a PBE calculation of TiSiRh3 after structural relaxation, from the Alexandria database.

Its density of states at the Fermi level is 19.92 states/eV per cell. For the excess energy over the best structure of this formula in the dataset, the calculation gives 0.000 eV per atom. Its energy is -308.211 eV/cell. Its formation energy from raw total energies is -631 meV per atom. The size of the total moment is 0.00 Bohr magnetons per cell.

The space group is C2/c (No. 15) and the conventional cell measures 9.188, 5.568 and 12.216 Å, with angles of 90.00, 108.05 and 90.00 degrees. The inequivalent atoms are Ti at (0.060, 0.142, 0.121), Si at (0.000, 0.252, 0.750), Si at (0.250, 0.250, 0.500), Rh at (0.045, 0.328, 0.579), Rh at (0.164, 0.389, 0.307) and Rh at (0.214, 0.115, 0.895).


The following is a PBE calculation of PrBi2PtO8 after structural relaxation, from the Alexandria database.

Its density of states at the Fermi level is 4.88 states/eV per cell. Its energy is -73.196 eV/cell. Its formation energy from raw total energies is -1246 meV per atom. The size of the total moment is 0.00 Bohr magnetons per cell.

The space group is P2/m (No. 10) and the conventional cell measures 5.071, 6.963 and 5.073 Å, with angles of 90.00, 91.28 and 90.00 degrees. The inequivalent atoms are Pr at (0.000, 0.000, 0.000), Bi at (0.500, 0.260, 0.500), Pt at (0.000, 0.500, 0.000), O at (0.182, 0.280, 0.195), O at (0.289, 0.500, 0.725) and O at (0.332, 0.000, 0.684).


The following is a PBE calculation of Co3OsRu after structural relaxation, from the Alexandria database.

For the formation energy, the calculation gives 1778 meV per atom. Its density of states at the Fermi level is 9.71 states/eV per cell. For the excess energy over the best structure of this formula in the dataset, the calculation gives 0.000 eV per atom. Its energy is -32.934 eV/cell. The size of the total moment is 4.54 Bohr magnetons per cell.

The space group is Pm-3m (No. 221) and the conventional cell measures 4.383, 4.383 and 4.383 Å, with angles of 90.00, 90.00 and 90.00 degrees. The inequivalent atoms are Co at (0.000, 0.000, 0.500), Os at (0.000, 0.000, 0.000) and Ru at (0.500, 0.500, 0.500).


The following is a PBE calculation of Er3Ni4P4 after structural relaxation, from the Alexandria database.

For the formation energy, the calculation gives -1141 meV per atom. Its density of states at the Fermi level is 9.78 states/eV per cell. Its energy is -142.000 eV/cell. The size of the total moment is 0.00 Bohr magnetons per cell.

The space group is Immm (No. 71) and the conventional cell measures 3.838, 3.852 and 22.797 Å, with angles of 90.00, 90.00 and 90.00 degrees. The inequivalent atoms are Er at (0.000, 0.000, 0.000), Er at (0.000, 0.500, 0.149), Ni at (0.000, 0.000, 0.251), Ni at (0.000, 0.500, 0.405), P at (0.000, 0.000, 0.449) and P at (0.000, 0.500, 0.307).


The following is a PBE calculation of LaY7Ho5 after structural relaxation, from the Alexandria database.

For the formation energy, the calculation gives 236 meV per atom. Its density of states at the Fermi level is 53.62 states/eV per cell. Its energy is -139.993 eV/cell. The size of the total moment is 0.16 Bohr magnetons per cell.

The space group is Imm2 (No. 44) and the conventional cell measures 6.666, 11.217 and 11.633 Å, with angles of 90.00, 90.00 and 90.00 degrees. The inequivalent atoms are La at (0.000, 0.000, 0.000), Y at (0.000, 0.000, 0.297), Y at (0.000, 0.000, 0.610), Y at (0.000, 0.327, 0.055), Y at (0.000, 0.332, 0.557), Y at (0.000, 0.500, 0.298), Ho at (0.000, 0.500, 0.812) and Ho at (0.236, 0.232, 0.803).


The following is a PBE calculation of Pu2AgAu2 after structural relaxation, from the Alexandria database.

For the formation energy, the calculation gives -281 meV per atom. Its density of states at the Fermi level is 50.51 states/eV per cell. For the excess energy over the best structure of this formula in the dataset, the calculation gives 0.000 eV per atom. Its energy is -78.953 eV/cell. The size of the total moment is 23.51 Bohr magnetons per cell.

The space group is P4/mbm (No. 127) and the conventional cell measures 7.656, 7.656 and 4.150 Å, with angles of 90.00, 90.00 and 90.00 degrees. The inequivalent atoms are Pu at (0.168, 0.332, 0.000), Ag at (0.000, 0.000, 0.500) and Au at (0.133, 0.633, 0.500).


The following is a PBE calculation of ZrZn2Au after structural relaxation, from the Alexandria database.

For the formation energy, the calculation gives -268 meV per atom. Its density of states at the Fermi level is 1.26 states/eV per cell. Its energy is -15.444 eV/cell. The size of the total moment is 0.00 Bohr magnetons per cell.

The space group is Pm (No. 6) and the conventional cell measures 2.906, 4.488 and 5.524 Å, with angles of 90.00, 94.72 and 90.00 degrees. The inequivalent atoms are Zr at (0.000, 0.000, 0.000), Zn at (0.449, 0.500, 0.736), Zn at (0.503, 0.000, 0.509) and Au at (0.544, 0.500, 0.238).


The following is a PBE calculation of Rb12Na3F5 after structural relaxation, from the Alexandria database.

Its density of states at the Fermi level is 70.85 states/eV per cell. Its energy is -394.015 eV/cell. Its formation energy from raw total energies is -1216 meV per atom. The size of the total moment is 0.00 Bohr magnetons per cell.

The space group is Ia-3d (No. 230) and the conventional cell measures 19.753, 19.753 and 19.753 Å, with angles of 90.00, 90.00 and 90.00 degrees. The inequivalent atoms are Rb at (0.037, 0.146, 0.958), Na at (0.000, 0.250, 0.125), F at (0.000, 0.000, 0.000) and F at (0.000, 0.250, 0.375).


| no. | V (Å³/atom) |
| --- | --- |
| 1 | 14.86 |
| 2 | 14.92 |
| 3 | 16.84 |
| 4 | 15.32 |
| 5 | 33.46 |
| 6 | 24.33 |
| 7 | 17.95 |
| 8 | 48.17 |